(1)
TaAl2Zn: single point on PBEsol structure, meta-GGA SCAN.

Properties
The crystal system is tetragonal. The density of states at the Fermi level comes out at 1.68 states/eV per cell.

Lattice parameters (Å, degrees): 3.9621 3.9621 3.8565 90.00 90.00 90.00
With the nearest neighbours (Å) after each atom.
Space group P4/mmm (No. 123)
Inequivalent atoms, fractional coordinates:
1 Ta 0.0000 0.0000 0.0000 x1  8 Al 2.76, 4 Zn 2.80
2 Al 0.0000 0.5000 0.5000 x2  4 Ta 2.76, 4 Zn 2.76, 4 Al 2.80
3 Zn 0.5000 0.5000 0.0000 x1  8 Al 2.76, 4 Ta 2.80


(2)
CuAs2Pt: single point on PBEsol structure, meta-GGA SCAN.

Properties
The crystal system is orthorhombic. The density of states at the Fermi level comes out at 1.70 states/eV per cell.

Lattice parameters (Å, degrees): 2.7998 3.5509 6.6774 90.00 90.00 90.00
With the nearest neighbours (Å) after each atom.
Space group Pmm2 (No. 25)
Inequivalent atoms, fractional coordinates:
1 Cu 0.0000 0.0000 0.0000 x1  4 As 2.55, 4 Pt 2.72, 2 Cu 2.80
2 As 0.0000 0.0000 0.4274 x1  4 Pt 2.63, 2 As 2.80, 1 Cu 2.85
3 As 0.5000 0.5000 0.8245 x1  4 Cu 2.55, 1 Pt 2.68, 2 As 2.80
4 Pt 0.5000 0.5000 0.2260 x1  5 As 2.63-2.68, 4 Cu 2.72, 2 Pt 2.80


(3)
BaCaSn: single point on PBEsol structure, meta-GGA SCAN.

Properties
The crystal system is orthorhombic.

Lattice parameters (Å, degrees): 8.7556 5.2333 9.5811 90.00 90.00 90.00
With the nearest neighbours (Å) after each atom.
Space group Pnma (No. 62)
Inequivalent atoms, fractional coordinates:
1 Ba 0.0215 0.2500 0.1814 x4  5 Sn 3.56-3.75, 3 Ca 3.81-3.90
2 Ca 0.1448 0.2500 0.5722 x4  4 Sn 3.22-3.26
3 Sn 0.2245 0.7500 0.3911 x4  4 Ca 3.22-3.26, 1 Ba 3.56


Computed values of calculated total energy (unit: eV/atom) for the preceding records, in sequence: -24.12, -31.50, -29.14.